A relaxed structure of Ce4Hg5Ru2. Source: the Alexandria database, functional PBE.

a = 7.894 Å, b = 3.664 Å, c = 9.539 Å
α = 90.00°, β = 95.55°, γ = 90.00°
Fractional coordinates of all 11 atoms:
1 Ce 0.183 0.000 0.341
2 Ce 0.213 0.000 0.939
3 Ce 0.787 0.000 0.061
4 Ce 0.817 0.000 0.659
5 Hg 0.166 0.500 0.639
6 Hg 0.465 0.500 0.168
7 Hg 0.500 0.500 0.500
8 Hg 0.535 0.500 0.832
9 Hg 0.834 0.500 0.361
10 Ru 0.089 0.500 0.148
11 Ru 0.911 0.500 0.852

Summary:
E_tot = -47.7 eV/cell
space-group type = P2/m, No. 10